Below is a crystal of Al2CoP relaxed with PBEsol, with properties calculated at the SCAN level.

a = 4.674 Å, b = 4.674 Å, c = 4.674 Å
α = 134.19°, β = 134.19°, γ = 66.79°
Sites, in units of the cell vectors:
Al  0.000  0.000  0.000
Al  0.750  0.250  0.500
Co  0.500  0.500  0.000
P  0.250  0.750  0.500

- Symmetry: I-4m2, No. 119
- Density of states at the Fermi level: 1.75 states/eV/cell
- Total energy: -10.759 eV/atom